(1)
# SrPtC2, relaxed, DFT PBE
# Fermi-level density of states (states/eV per cell): 1.2
# Energy of formation from the pure elements (eV per atom): 1.51
data_SrPtC2
_chemical_formula_sum 'Sr1 Pt1 C2'
_cell_length_a 4.272
_cell_length_b 4.272
_cell_length_c 4.272
_cell_angle_alpha 60.00
_cell_angle_beta 60.00
_cell_angle_gamma 60.00
_space_group_name_H-M_alt 'P 1'
_space_group_IT_number 1
loop_
_space_group_symop_operation_xyz
'x,y,z'
loop_
_atom_site_label
_atom_site_fract_x
_atom_site_fract_y
_atom_site_fract_z
_atom_site_occupancy
Sr1 0.000 0.000 0.000 1
C1 0.750 0.750 0.750 1
C2 0.250 0.250 0.250 1
Pt1 0.500 0.500 0.500 1

***

(2)
# Sr2TlPtC, relaxed, DFT PBE
# Fermi-level density of states (states/eV per cell): 4.3
# Energy of formation from the pure elements (eV per atom): -0.27
data_Sr2TlPtC
_chemical_formula_sum 'Sr2 Tl1 Pt1 C1'
_cell_length_a 5.662
_cell_length_b 5.662
_cell_length_c 3.923
_cell_angle_alpha 90.00
_cell_angle_beta 90.00
_cell_angle_gamma 90.00
_space_group_name_H-M_alt 'P 1'
_space_group_IT_number 1
loop_
_space_group_symop_operation_xyz
'x,y,z'
loop_
_atom_site_label
_atom_site_fract_x
_atom_site_fract_y
_atom_site_fract_z
_atom_site_occupancy
Sr1 0.500 0.000 0.000 1
Sr2 0.000 0.500 0.000 1
Pt1 0.000 0.000 0.500 1
C1 0.000 0.000 0.000 1
Tl1 0.500 0.500 0.500 1

***

(3)
# TaPtC, relaxed, DFT PBE
# Fermi-level density of states (states/eV per cell): 3.3
# Energy of formation from the pure elements (eV per atom): 0.22
data_TaPtC
_chemical_formula_sum 'Ta2 Pt2 C2'
_cell_length_a 3.233
_cell_length_b 3.233
_cell_length_c 9.391
_cell_angle_alpha 80.09
_cell_angle_beta 80.09
_cell_angle_gamma 60.00
_space_group_name_H-M_alt 'P 1'
_space_group_IT_number 1
loop_
_space_group_symop_operation_xyz
'x,y,z'
loop_
_atom_site_label
_atom_site_fract_x
_atom_site_fract_y
_atom_site_fract_z
_atom_site_occupancy
Pt1 0.129 0.129 0.613 1
Pt2 0.871 0.871 0.387 1
C1 0.250 0.250 0.251 1
C2 0.750 0.750 0.749 1
Ta1 0.381 0.381 0.858 1
Ta2 0.619 0.619 0.142 1

***

(4)
# TaPtC2, relaxed, DFT PBE
# Fermi-level density of states (states/eV per cell): 2.8
# Energy of formation from the pure elements (eV per atom): 1.11
data_TaPtC2
_chemical_formula_sum 'Ta1 Pt1 C2'
_cell_length_a 3.959
_cell_length_b 3.959
_cell_length_c 3.959
_cell_angle_alpha 60.00
_cell_angle_beta 60.00
_cell_angle_gamma 60.00
_space_group_name_H-M_alt 'P 1'
_space_group_IT_number 1
loop_
_space_group_symop_operation_xyz
'x,y,z'
loop_
_atom_site_label
_atom_site_fract_x
_atom_site_fract_y
_atom_site_fract_z
_atom_site_occupancy
Ta1 0.000 0.000 0.000 1
Pt1 0.500 0.500 0.500 1
C1 0.750 0.750 0.750 1
C2 0.250 0.250 0.250 1

***

(5)
# TaPtC3, relaxed, DFT PBE
# Fermi-level density of states (states/eV per cell): 3.3
# Energy of formation from the pure elements (eV per atom): 2.18
data_TaPtC3
_chemical_formula_sum 'Ta1 Pt1 C3'
_cell_length_a 4.158
_cell_length_b 4.158
_cell_length_c 4.158
_cell_angle_alpha 90.00
_cell_angle_beta 90.00
_cell_angle_gamma 90.00
_space_group_name_H-M_alt 'P 1'
_space_group_IT_number 1
loop_
_space_group_symop_operation_xyz
'x,y,z'
loop_
_atom_site_label
_atom_site_fract_x
_atom_site_fract_y
_atom_site_fract_z
_atom_site_occupancy
C1 0.500 0.000 0.000 1
C2 0.000 0.500 0.000 1
C3 0.000 0.000 0.500 1
Ta1 0.000 0.000 0.000 1
Pt1 0.500 0.500 0.500 1

***

(6)
# TaPtC2, relaxed, DFT PBE
# Fermi-level density of states (states/eV per cell): 3.7
# Energy of formation from the pure elements (eV per atom): 0.51
data_TaPtC2
_chemical_formula_sum 'Ta2 Pt2 C4'
_cell_length_a 4.744
_cell_length_b 4.744
_cell_length_c 5.926
_cell_angle_alpha 66.41
_cell_angle_beta 66.41
_cell_angle_gamma 90.00
_space_group_name_H-M_alt 'P 1'
_space_group_IT_number 1
loop_
_space_group_symop_operation_xyz
'x,y,z'
loop_
_atom_site_label
_atom_site_fract_x
_atom_site_fract_y
_atom_site_fract_z
_atom_site_occupancy
Ta1 0.250 0.750 0.500 1
Ta2 0.500 0.500 0.000 1
C1 0.628 0.125 0.250 1
C2 0.122 0.625 0.250 1
C3 0.375 0.372 0.750 1
C4 0.875 0.878 0.750 1
Pt1 0.000 0.000 0.000 1
Pt2 0.750 0.250 0.500 1

***

(7)
# Ta3Pt2C, relaxed, DFT PBE
# Fermi-level density of states (states/eV per cell): 12.8
# Energy of formation from the pure elements (eV per atom): -0.58
data_Ta3Pt2C
_chemical_formula_sum 'Ta12 Pt8 C4'
_cell_length_a 7.097
_cell_length_b 7.097
_cell_length_c 7.097
_cell_angle_alpha 90.00
_cell_angle_beta 90.00
_cell_angle_gamma 90.00
_space_group_name_H-M_alt 'P 1'
_space_group_IT_number 1
loop_
_space_group_symop_operation_xyz
'x,y,z'
loop_
_atom_site_label
_atom_site_fract_x
_atom_site_fract_y
_atom_site_fract_z
_atom_site_occupancy
Pt1 0.561 0.439 0.939 1
Pt2 0.189 0.811 0.311 1
Pt3 0.061 0.061 0.061 1
Pt4 0.439 0.939 0.561 1
Pt5 0.811 0.311 0.189 1
Pt6 0.311 0.189 0.811 1
Pt7 0.689 0.689 0.689 1
Pt8 0.939 0.561 0.439 1
Ta1 0.952 0.375 0.798 1
Ta2 0.125 0.202 0.452 1
Ta3 0.298 0.548 0.625 1
Ta4 0.875 0.702 0.048 1
Ta5 0.375 0.798 0.952 1
Ta6 0.452 0.125 0.202 1
Ta7 0.048 0.875 0.702 1
Ta8 0.548 0.625 0.298 1
Ta9 0.202 0.452 0.125 1
Ta10 0.625 0.298 0.548 1
Ta11 0.702 0.048 0.875 1
Ta12 0.798 0.952 0.375 1
C1 0.625 0.875 0.125 1
C2 0.375 0.375 0.375 1
C3 0.125 0.625 0.875 1
C4 0.875 0.125 0.625 1

***

(8)
# Ta2PtC, relaxed, DFT PBE
# Fermi-level density of states (states/eV per cell): 6.4
# Energy of formation from the pure elements (eV per atom): -0.05
data_Ta2PtC
_chemical_formula_sum 'Ta4 Pt2 C2'
_cell_length_a 6.394
_cell_length_b 6.394
_cell_length_c 5.425
_cell_angle_alpha 53.89
_cell_angle_beta 53.89
_cell_angle_gamma 90.00
_space_group_name_H-M_alt 'P 1'
_space_group_IT_number 1
loop_
_space_group_symop_operation_xyz
'x,y,z'
loop_
_atom_site_label
_atom_site_fract_x
_atom_site_fract_y
_atom_site_fract_z
_atom_site_occupancy
C1 0.500 0.500 0.000 1
C2 0.250 0.750 0.500 1
Pt1 0.750 0.250 0.500 1
Pt2 0.000 0.000 0.000 1
Ta1 0.375 0.439 0.750 1
Ta2 0.875 0.811 0.750 1
Ta3 0.189 0.625 0.250 1
Ta4 0.561 0.125 0.250 1